Record 1
Below is Be2SnMoBr after structural relaxation, with properties calculated at the GGA-PBE level.

a = 4.391 Å, b = 4.391 Å, c = 7.737 Å
α = 90.00°, β = 90.00°, γ = 90.00°
Atoms (fractional coordinates):
Be (0.000, 0.500, 0.000)
Be (0.500, 0.000, 0.000)
Sn (0.000, 0.000, 0.000)
Mo (0.500, 0.500, 0.500)
Br (0.000, 0.000, 0.500)

Properties
* Fermi-level density of states: 0.314 states/eV per atom
* formation energy without anion corrections: 1.4522 eV/atom

***

Record 2
Below is BeTeMoBr2 after structural relaxation, with properties calculated at the GGA-PBE level.

a = 5.814 Å, b = 5.814 Å, c = 5.405 Å
α = 90.00°, β = 90.00°, γ = 90.00°
Atoms (fractional coordinates):
Be (0.000, 0.000, 0.000)
Te (0.500, 0.500, 0.500)
Mo (0.500, 0.500, 0.000)
Br (0.000, 0.500, 0.500)
Br (0.500, 0.000, 0.500)

Properties
* Fermi-level density of states: 0.346 states/eV per atom
* formation energy without anion corrections: 1.2681 eV/atom

***

Record 3
Below is BeBrN3 after structural relaxation, with properties calculated at the GGA-PBE level.

a = 3.603 Å, b = 3.603 Å, c = 3.603 Å
α = 90.00°, β = 90.00°, γ = 90.00°
Atoms (fractional coordinates):
Be (0.000, 0.000, 0.000)
Br (0.500, 0.500, 0.500)
N (0.000, 0.000, 0.500)
N (0.000, 0.500, 0.000)
N (0.500, 0.000, 0.000)

Properties
* Fermi-level density of states: 0.654 states/eV per atom
* formation energy without anion corrections: 2.1044 eV/atom

***

Record 4
Below is BeBrN2 after structural relaxation, with properties calculated at the GGA-PBE level.

a = 3.493 Å, b = 3.493 Å, c = 15.355 Å
α = 90.00°, β = 90.00°, γ = 120.00°
Atoms (fractional coordinates):
Be (0.000, 0.000, 0.000)
Be (0.333, 0.667, 0.667)
Be (0.667, 0.333, 0.333)
Br (0.000, 0.000, 0.500)
Br (0.333, 0.667, 0.167)
Br (0.667, 0.333, 0.833)
N (0.000, 0.000, 0.101)
N (0.000, 0.000, 0.899)
N (0.333, 0.667, 0.566)
N (0.333, 0.667, 0.768)
N (0.667, 0.333, 0.232)
N (0.667, 0.333, 0.434)

Properties
* Fermi-level density of states: 0.427 states/eV per atom
* formation energy without anion corrections: 1.4409 eV/atom
* E above lowest polymorph: 0.390 eV/atom

***

Record 5
Below is BeBrN2 after structural relaxation, with properties calculated at the GGA-PBE level.

a = 3.014 Å, b = 3.014 Å, c = 16.769 Å
α = 90.00°, β = 90.00°, γ = 120.00°
Atoms (fractional coordinates):
Be (0.000, 0.000, 0.000)
Be (0.333, 0.667, 0.667)
Be (0.667, 0.333, 0.333)
Br (0.000, 0.000, 0.500)
Br (0.333, 0.667, 0.167)
Br (0.667, 0.333, 0.833)
N (0.000, 0.000, 0.383)
N (0.000, 0.000, 0.617)
N (0.333, 0.667, 0.050)
N (0.333, 0.667, 0.284)
N (0.667, 0.333, 0.716)
N (0.667, 0.333, 0.950)

Properties
* Fermi-level density of states: 0.523 states/eV per atom
* formation energy without anion corrections: 1.0510 eV/atom
* E above lowest polymorph: 0.000 eV/atom

***

Record 6
Below is BeBr2N after structural relaxation, with properties calculated at the GGA-PBE level.

a = 5.048 Å, b = 5.048 Å, c = 24.322 Å
α = 90.00°, β = 90.00°, γ = 120.00°
Atoms (fractional coordinates):
Be (0.000, 0.000, 0.000)
Be (0.333, 0.667, 0.667)
Be (0.667, 0.333, 0.333)
Br (0.000, 0.000, 0.080)
Br (0.000, 0.000, 0.920)
Br (0.333, 0.667, 0.587)
Br (0.333, 0.667, 0.747)
Br (0.667, 0.333, 0.253)
Br (0.667, 0.333, 0.413)
N (0.000, 0.000, 0.500)
N (0.333, 0.667, 0.167)
N (0.667, 0.333, 0.833)

Properties
* Fermi-level density of states: 0.000 states/eV per atom
* formation energy without anion corrections: 0.7687 eV/atom
* E above lowest polymorph: 0.154 eV/atom

***

Record 7
Below is Be2Br2N after structural relaxation, with properties calculated at the GGA-PBE level.

a = 4.178 Å, b = 4.178 Å, c = 10.154 Å
α = 90.00°, β = 90.00°, γ = 90.00°
Atoms (fractional coordinates):
Be (0.000, 0.500, 0.250)
Be (0.000, 0.500, 0.750)
Be (0.500, 0.000, 0.250)
Be (0.500, 0.000, 0.750)
Br (0.000, 0.000, 0.154)
Br (0.000, 0.000, 0.846)
Br (0.500, 0.500, 0.346)
Br (0.500, 0.500, 0.654)
N (0.000, 0.000, 0.500)
N (0.500, 0.500, 0.000)

Properties
* Fermi-level density of states: 0.205 states/eV per atom
* formation energy without anion corrections: 1.2058 eV/atom
* E above lowest polymorph: 0.133 eV/atom

***

Record 8
Below is BeBrN3 after structural relaxation, with properties calculated at the GGA-PBE level.

a = 3.794 Å, b = 3.794 Å, c = 3.794 Å
α = 90.00°, β = 90.00°, γ = 90.00°
Atoms (fractional coordinates):
Be (0.000, 0.000, 0.000)
Br (0.500, 0.500, 0.500)
N (0.000, 0.500, 0.500)
N (0.500, 0.000, 0.500)
N (0.500, 0.500, 0.000)

Properties
* Fermi-level density of states: 0.511 states/eV per atom
* formation energy without anion corrections: 2.8708 eV/atom